No. 1
Th6Ru2RhS3: optimized geometry, PBE-GGA.

The structure belongs to space group C2/m (No. 12); the cell edges are 18.4645, 4.0490 and 8.5479 Å and the angles 90.00°, 107.62° and 90.00°. The distinct sites, in fractional coordinates, are Th at (0.0062, 0.0000, 0.2410), Th at (0.1632, 0.5000, 0.0992), Th at (0.1724, 0.5000, 0.5700), Ru at (0.1660, 0.0000, 0.3319), Rh at (0.0000, 0.5000, 0.0000), S at (0.0000, 0.5000, 0.5000) and S at (0.1662, 0.0000, 0.8338).

For the total energy, the calculation gives -96.9 eV per formula unit. Its crystal system is monoclinic.

No. 2
SrAu: optimized geometry, PBE-GGA.

The structure belongs to space group P-3m1 (No. 164); the cell edges are 4.4131, 4.4131 and 8.7529 Å and the angles 90.00°, 90.00° and 120.00°. The distinct sites, in fractional coordinates, are Sr at (0.3333, 0.6667, 0.2122) and Au at (0.3333, 0.6667, 0.5863).

Its crystal system is trigonal. As for the formation energy: -0.92 eV/f.u.

No. 3
GaSe3S: optimized geometry, PBE-GGA.

The structure belongs to space group Pm-3m (No. 221); the cell edges are 4.9352, 4.9352 and 4.9352 Å and the angles 90.00°, 90.00° and 90.00°. The distinct sites, in fractional coordinates, are Ga at (0.0000, 0.0000, 0.0000), Se at (0.0000, 0.0000, 0.5000) and S at (0.5000, 0.5000, 0.5000).

For the total energy, the calculation gives -14.0 eV per formula unit. Its crystal system is cubic.

No. 4
RbTcS3: optimized geometry, PBE-GGA.

The structure belongs to space group P6_3/mmc (No. 194); the cell edges are 7.0627, 7.0627 and 5.8451 Å and the angles 90.00°, 90.00° and 120.00°. The distinct sites, in fractional coordinates, are Rb at (0.3333, 0.6667, 0.2500), Tc at (0.0000, 0.0000, 0.0000) and S at (0.1538, 0.3076, 0.7500).

For the total energy, the calculation gives -26.6 eV per formula unit. Its crystal system is hexagonal.

No. 5
Pr3GeTeCl: optimized geometry, PBE-GGA.

The structure belongs to space group P2_1/m (No. 11); the cell edges are 9.0161, 4.3423 and 10.0435 Å and the angles 90.00°, 94.00° and 90.00°. The distinct sites, in fractional coordinates, are Pr at (0.1010, 0.2500, 0.3508), Pr at (0.1689, 0.2500, 0.9384), Pr at (0.3665, 0.7500, 0.6437), Ge at (0.1345, 0.2500, 0.6497), Te at (0.3642, 0.7500, 0.3202) and Cl at (0.3691, 0.7500, 0.9327).

For the total energy, the calculation gives -31.2 eV per formula unit. Its crystal system is monoclinic.

No. 6
CsTlO3: optimized geometry, PBE-GGA.

The structure belongs to space group Pm-3m (No. 221); the cell edges are 4.4548, 4.4548 and 4.4548 Å and the angles 90.00°, 90.00° and 90.00°. The distinct sites, in fractional coordinates, are Cs at (0.0000, 0.0000, 0.0000), Tl at (0.5000, 0.5000, 0.5000) and O at (0.0000, 0.0000, 0.5000).

For the total energy, the calculation gives -16.1 eV per formula unit. Its crystal system is cubic.

No. 7
CaGeS2Cl: optimized geometry, PBE-GGA.

The structure belongs to space group P4/mmm (No. 123); the cell edges are 5.2399, 5.2399 and 5.0909 Å and the angles 90.00°, 90.00° and 90.00°. The distinct sites, in fractional coordinates, are Ca at (0.0000, 0.0000, 0.0000), Ge at (0.5000, 0.5000, 0.5000), S at (0.0000, 0.5000, 0.0000) and Cl at (0.0000, 0.0000, 0.5000).

For the total energy, the calculation gives -17.9 eV per formula unit. Its crystal system is tetragonal.

No. 8
Sc2Fe2Co: optimized geometry, PBE-GGA.

The structure belongs to space group P4/mbm (No. 127); the cell edges are 6.1489, 6.1489 and 4.0653 Å and the angles 90.00°, 90.00° and 90.00°. The distinct sites, in fractional coordinates, are Sc at (0.1788, 0.3212, 0.0000), Fe at (0.1317, 0.6317, 0.5000) and Co at (0.0000, 0.0000, 0.5000).

Its crystal system is tetragonal. As for the formation energy: -0.43 eV/f.u.

No. 9
Cs2BrCl5: optimized geometry, PBE-GGA.

The structure belongs to space group I4mm (No. 107); the cell edges are 7.8435, 7.8435 and 9.4576 Å and the angles 90.00°, 90.00° and 90.00°. The distinct sites, in fractional coordinates, are Cs at (0.0000, 0.5000, 0.0000), Br at (0.0000, 0.0000, 0.2499), Cl at (0.0000, 0.0000, 0.7476) and Cl at (0.2266, 0.2266, 0.2496).

For the total energy, the calculation gives -20.4 eV per formula unit. Its crystal system is tetragonal.

No. 10
FeReSe: optimized geometry, PBE-GGA.

The structure belongs to space group Fmm2 (No. 42); the cell edges are 2.9214, 4.6942 and 13.3541 Å and the angles 90.00°, 90.00° and 90.00°. The distinct sites, in fractional coordinates, are Fe at (0.0000, 0.0000, 0.0000), Re at (0.0000, 0.0000, 0.6476) and Se at (0.0000, 0.0000, 0.3379).

For the total energy, the calculation gives -22.5 eV per formula unit. Its crystal system is orthorhombic.

No. 11
Dy6HgS3: optimized geometry, PBE-GGA.

The structure belongs to space group P2_1/m (No. 11); the cell edges are 11.7673, 3.8483 and 11.8584 Å and the angles 90.00°, 111.42° and 90.00°. The distinct sites, in fractional coordinates, are Dy at (0.0217, 0.2500, 0.3384), Dy at (0.1362, 0.7500, 0.1043), Dy at (0.2576, 0.2500, 0.6602), Dy at (0.3435, 0.7500, 0.9375), Dy at (0.3517, 0.7500, 0.4480), Dy at (0.4360, 0.2500, 0.2316), Hg at (0.1228, 0.2500, 0.8788), S at (0.1316, 0.7500, 0.5041), S at (0.2246, 0.2500, 0.2767) and S at (0.4588, 0.2500, 0.8592).

For the total energy, the calculation gives -52.9 eV per formula unit. Its crystal system is monoclinic.

No. 12
RuS3F: optimized geometry, PBE-GGA.

The structure belongs to space group Pm-3m (No. 221); the cell edges are 4.2570, 4.2570 and 4.2570 Å and the angles 90.00°, 90.00° and 90.00°. The distinct sites, in fractional coordinates, are Ru at (0.0000, 0.0000, 0.0000), S at (0.0000, 0.5000, 0.5000) and F at (0.5000, 0.5000, 0.5000).

For the total energy, the calculation gives -17.3 eV per formula unit. Its crystal system is cubic.

Q: Which formula does entry 11 have?
A: Dy6HgS3